a | A geometry-optimized VGeP3 structure, computed with PBE.

Unit cell a=4.556 b=4.556 c=4.556 alpha=90.00 beta=90.00 gamma=90.00
Space group Pm-3m (No. 221)
One atom of each set of equivalent atoms:
V 0.000 0.000 0.000
Ge 0.500 0.500 0.500
P 0.000 0.000 0.500

**Calculated density**: 3.80 g/cm3
**Calculated volume**: 95 Å³/cell

***

b | A geometry-optimized VGeP3 structure, computed with PBE.

Unit cell a=4.638 b=4.638 c=4.638 alpha=90.00 beta=90.00 gamma=90.00
Space group Pm-3m (No. 221)
One atom of each set of equivalent atoms:
V 0.000 0.000 0.000
Ge 0.500 0.500 0.500
P 0.000 0.500 0.500

**Calculated density**: 3.60 g/cm3
**Calculated volume**: 100 Å³/cell

***

What should be chosen as the most stable of them? Choose a.

***

a | A geometry-optimized V3GeP structure, computed with PBE.

Unit cell a=12.012 b=4.362 c=5.997 alpha=90.00 beta=94.11 gamma=90.00
Space group C2/m (No. 12)
One atom of each set of equivalent atoms:
V 0.030 0.000 0.238
V 0.184 0.000 0.976
V 0.217 0.500 0.669
Ge 0.107 0.500 0.101
P 0.141 0.000 0.581

**Calculated density**: 5.43 g/cm3
**Calculated volume**: 313 Å³/cell

***

b | A geometry-optimized V3GeP structure, computed with PBE.

Unit cell a=4.326 b=4.326 c=4.326 alpha=90.00 beta=90.00 gamma=90.00
Space group Pm-3m (No. 221)
One atom of each set of equivalent atoms:
V 0.000 0.000 0.500
Ge 0.500 0.500 0.500
P 0.000 0.000 0.000

**Calculated density**: 5.26 g/cm3
**Calculated volume**: 81 Å³/cell

***

What should be chosen as the most stable of them? Choose a.

***

a | A geometry-optimized GePW2 structure, computed with PBE.

Unit cell a=3.867 b=3.867 c=17.707 alpha=90.00 beta=90.00 gamma=90.00
Space group I-42d (No. 122)
One atom of each set of equivalent atoms:
Ge 0.000 0.000 0.000
P 0.000 0.000 0.500
W 0.235 0.250 0.625

**Calculated density**: 11.82 g/cm3
**Calculated volume**: 265 Å³/cell

***

b | A geometry-optimized GePW2 structure, computed with PBE.

Unit cell a=6.158 b=6.158 c=6.158 alpha=90.00 beta=90.00 gamma=90.00
Space group Fm-3m (No. 225)
One atom of each set of equivalent atoms:
Ge 0.000 0.000 0.000
P 0.000 0.000 0.500
W 0.250 0.250 0.250

**Calculated density**: 13.40 g/cm3
**Calculated volume**: 234 Å³/cell

***

What should be chosen as the most stable of them? Choose b.